A plane-wave DFT calculation with GGA-PBE was carried out for a relaxed structure of HoBe4.

Cell: 4.9645 4.9645 4.9645 Å, 90.00 90.00 90.00°
Sites, in units of the cell vectors:
Ho: 0.5000 0.5000 0.5000
Be: 0.5000 0.0000 0.5000
Be: 0.0000 0.5000 0.5000
Be: 0.0000 0.0000 0.0000
Be: 0.5000 0.5000 0.0000

Its total magnetization is 0.457 μB/cell. The value obtained for the formation enthalpy at 0 K is 2.33 eV per atom. For the total energy, the calculation gives -7.8 eV for the cell shown. The density of states at the Fermi level comes out at 5.8 states/eV/cell. The space group is Pm-3m.

=====

A plane-wave DFT calculation with GGA-PBE was carried out for a relaxed structure of HoBe.

Cell: 3.3879 3.3879 3.3879 Å, 90.00 90.00 90.00°
Sites, in units of the cell vectors:
Ho: 0.0000 0.0000 0.0000
Be: 0.5000 0.5000 0.5000

Its total magnetization is 0.000 μB/cell. The value obtained for the formation enthalpy at 0 K is 0.09 eV per atom. For the total energy, the calculation gives -8.1 eV for the cell shown. For the energy above the most stable polymorph in this dataset, the calculation gives 11.1 meV/atom. The density of states at the Fermi level comes out at 2.4 states/eV/cell. The space group is Pm-3m.